No. 1
Material: ZrMnPtBr2
Method: DFT, PBE-GGA
State: relaxed

```
data_ZrMnPtBr2
_cell_length_a 5.158
_cell_length_b 5.158
_cell_length_c 5.256
_cell_angle_alpha 90.00
_cell_angle_beta 90.00
_cell_angle_gamma 90.00
_space_group_name_H-M_alt 'P 4/m m m'
_space_group_IT_number 123
_space_group_name_Hall '-P 4 2'
loop_
_atom_site_label
_atom_site_fract_x
_atom_site_fract_y
_atom_site_fract_z
_atom_site_occupancy
Zr1 0.000 0.000 0.000 1
Mn1 0.500 0.500 0.000 1
Pt1 0.000 0.000 0.500 1
Br1 0.000 0.500 0.500 1
```

- Density of states at the Fermi level: 3.59 states/eV/cell
- Final energy: -4.80 eV per atom
- Uncorrected formation energy: 0.62 eV/atom
- Offset from the most stable computed form: 0.000 eV per formula unit

---

No. 2
Material: ZrMnPtBr2
Method: DFT, PBE-GGA
State: relaxed

```
data_ZrMnPtBr2
_cell_length_a 5.064
_cell_length_b 5.064
_cell_length_c 5.785
_cell_angle_alpha 90.00
_cell_angle_beta 90.00
_cell_angle_gamma 90.00
_space_group_name_H-M_alt 'P 4/m m m'
_space_group_IT_number 123
_space_group_name_Hall '-P 4 2'
loop_
_atom_site_label
_atom_site_fract_x
_atom_site_fract_y
_atom_site_fract_z
_atom_site_occupancy
Zr1 0.000 0.000 0.000 1
Mn1 0.000 0.000 0.500 1
Pt1 0.500 0.500 0.500 1
Br1 0.000 0.500 0.000 1
```

- Density of states at the Fermi level: 7.23 states/eV/cell
- Final energy: -4.74 eV per atom
- Uncorrected formation energy: 0.68 eV/atom
- Offset from the most stable computed form: 0.290 eV per formula unit

---

No. 3
Material: PuMnBr6
Method: DFT, PBE-GGA
State: relaxed

```
data_PuMnBr6
_cell_length_a 6.743
_cell_length_b 13.145
_cell_length_c 6.740
_cell_angle_alpha 90.00
_cell_angle_beta 108.06
_cell_angle_gamma 90.00
_space_group_name_H-M_alt 'C 1 2/m 1'
_space_group_IT_number 12
loop_
_space_group_symop_operation_xyz
'x,y,z'
'-x,-y,-z'
'-x,y,-z'
'x,-y,z'
'x+1/2,y+1/2,z'
'-x+1/2,-y+1/2,-z'
'-x+1/2,y+1/2,-z'
'x+1/2,-y+1/2,z'
loop_
_atom_site_label
_atom_site_fract_x
_atom_site_fract_y
_atom_site_fract_z
_atom_site_occupancy
Pu1 0.000 0.000 0.000 1
Mn1 0.000 0.500 0.500 1
Br1 0.234 0.358 0.733 1
Br2 0.247 0.500 0.252 1
```

- Density of states at the Fermi level: 17.59 states/eV/cell
- Final energy: -5.27 eV per atom
- Uncorrected formation energy: -1.08 eV/atom

---

No. 4
Material: PuMn2Br8
Method: DFT, PBE-GGA
State: relaxed

```
data_PuMn2Br8
_cell_length_a 20.913
_cell_length_b 3.923
_cell_length_c 10.298
_cell_angle_alpha 90.00
_cell_angle_beta 92.58
_cell_angle_gamma 90.00
_space_group_name_H-M_alt 'C 1 2/m 1'
_space_group_IT_number 12
loop_
_space_group_symop_operation_xyz
'x,y,z'
'-x,-y,-z'
'-x,y,-z'
'x,-y,z'
'x+1/2,y+1/2,z'
'-x+1/2,-y+1/2,-z'
'-x+1/2,y+1/2,-z'
'x+1/2,-y+1/2,z'
loop_
_atom_site_label
_atom_site_fract_x
_atom_site_fract_y
_atom_site_fract_z
_atom_site_occupancy
Pu1 0.000 0.000 0.000 1
Mn1 0.179 0.500 0.553 1
Br1 0.021 0.500 0.195 1
Br2 0.100 0.000 0.530 1
Br3 0.125 0.000 0.957 1
Br4 0.240 0.500 0.339 1
```

- Density of states at the Fermi level: 17.91 states/eV/cell
- Final energy: -5.14 eV per atom
- Uncorrected formation energy: -0.96 eV/atom

---

No. 5
Material: Rb2PuMnBr6
Method: DFT, PBE-GGA
State: relaxed

```
data_Rb2PuMnBr6
_cell_length_a 7.974
_cell_length_b 11.279
_cell_length_c 7.968
_cell_angle_alpha 90.00
_cell_angle_beta 90.00
_cell_angle_gamma 90.00
_space_group_name_H-M_alt 'P m m n'
_space_group_IT_number 59
loop_
_space_group_symop_operation_xyz
'x,y,z'
'-x,-y,-z'
'-x+1/2,-y+1/2,z'
'x+1/2,y+1/2,-z'
'x+1/2,-y,-z'
'-x+1/2,y,z'
'-x,y+1/2,-z'
'x,-y+1/2,z'
loop_
_atom_site_label
_atom_site_fract_x
_atom_site_fract_y
_atom_site_fract_z
_atom_site_occupancy
Rb1 0.250 0.000 0.250 1
Pu1 0.250 0.250 0.749 1
Mn1 0.250 0.750 0.751 1
Br1 0.010 0.750 0.511 1
Br2 0.011 0.750 0.990 1
Br3 0.250 0.510 0.750 1
```

- Density of states at the Fermi level: 45.59 states/eV/cell
- Final energy: -4.89 eV per atom
- Uncorrected formation energy: -1.34 eV/atom

---

No. 6
Material: PuMnTlBr6
Method: DFT, PBE-GGA
State: relaxed

```
data_PuMnTlBr6
_cell_length_a 7.2835
_cell_length_b 7.2835
_cell_length_c 14.4554
_cell_angle_alpha 90.00
_cell_angle_beta 90.00
_cell_angle_gamma 120.00
_space_group_name_H-M_alt 'P -3 1 c'
_space_group_IT_number 163
_space_group_name_Hall '-P 3 2c'
loop_
_atom_site_label
_atom_site_fract_x
_atom_site_fract_y
_atom_site_fract_z
_atom_site_occupancy
Pu1 0.3333 0.6667 0.2500 1
Mn1 0.3333 0.6667 0.7500 1
Tl1 0.0000 0.0000 0.0000 1
Br1 0.0196 0.3777 0.6413 1
```

- Density of states at the Fermi level: 23.26 states/eV/cell
- Final energy: -5.12 eV per atom
- Uncorrected formation energy: -1.13 eV/atom

---

No. 7
Material: Rb2MnBr4
Method: DFT, PBE-GGA
State: relaxed

```
data_Rb2MnBr4
_cell_length_a 5.412
_cell_length_b 5.412
_cell_length_c 17.130
_cell_angle_alpha 90.00
_cell_angle_beta 90.00
_cell_angle_gamma 90.00
_space_group_name_H-M_alt 'I 4/m m m'
_space_group_IT_number 139
_space_group_name_Hall '-I 4 2'
loop_
_atom_site_label
_atom_site_fract_x
_atom_site_fract_y
_atom_site_fract_z
_atom_site_occupancy
Rb1 0.000 0.000 0.140 1
Mn1 0.000 0.000 0.500 1
Br1 0.000 0.000 0.344 1
Br2 0.000 0.500 0.000 1
```

- Final energy: -3.88 eV per atom
- Uncorrected formation energy: -1.34 eV/atom
- Offset from the most stable computed form: 0.243 eV per formula unit

---

No. 8
Material: RbMnBr3
Method: DFT, PBE-GGA
State: relaxed

```
data_RbMnBr3
_cell_length_a 13.1785
_cell_length_b 13.1785
_cell_length_c 6.6251
_cell_angle_alpha 90.00
_cell_angle_beta 90.00
_cell_angle_gamma 120.00
_space_group_name_H-M_alt 'P 63 c m'
_space_group_IT_number 185
_space_group_name_Hall 'P 6c -2'
loop_
_atom_site_label
_atom_site_fract_x
_atom_site_fract_y
_atom_site_fract_z
_atom_site_occupancy
Rb1 0.0000 0.3351 0.0000 1
Mn1 0.0000 0.0000 0.1696 1
Mn2 0.3333 0.6667 0.3047 1
Br1 0.0000 0.1617 0.4156 1
Br2 0.1722 0.5043 0.5573 1
```

- Final energy: -4.22 eV per atom
- Uncorrected formation energy: -1.19 eV/atom

---

No. 9
Material: RbMnBr3
Method: DFT, PBE-GGA
State: relaxed

```
data_RbMnBr3
_cell_length_a 5.394
_cell_length_b 5.394
_cell_length_c 5.394
_cell_angle_alpha 90.00
_cell_angle_beta 90.00
_cell_angle_gamma 90.00
_space_group_name_H-M_alt 'P m -3 m'
_space_group_IT_number 221
_space_group_name_Hall '-P 4 2 3'
loop_
_atom_site_label
_atom_site_fract_x
_atom_site_fract_y
_atom_site_fract_z
_atom_site_occupancy
Rb1 0.000 0.000 0.000 1
Mn1 0.500 0.500 0.500 1
Br1 0.000 0.500 0.500 1
```

- Final energy: -4.18 eV per atom
- Uncorrected formation energy: -1.15 eV/atom

---

No. 10
Material: RbMn3Br
Method: DFT, PBE-GGA
State: relaxed

```
data_RbMn3Br
_cell_length_a 5.062
_cell_length_b 5.062
_cell_length_c 5.062
_cell_angle_alpha 90.00
_cell_angle_beta 90.00
_cell_angle_gamma 90.00
_space_group_name_H-M_alt 'P m -3 m'
_space_group_IT_number 221
_space_group_name_Hall '-P 4 2 3'
loop_
_atom_site_label
_atom_site_fract_x
_atom_site_fract_y
_atom_site_fract_z
_atom_site_occupancy
Rb1 0.000 0.000 0.000 1
Mn1 0.000 0.500 0.500 1
Br1 0.500 0.500 0.500 1
```

- Density of states at the Fermi level: 5.46 states/eV/cell
- Final energy: -4.82 eV per atom
- Uncorrected formation energy: 1.21 eV/atom
- Offset from the most stable computed form: 0.000 eV per formula unit

---

No. 11
Material: Rb3MnBr8
Method: DFT, PBE-GGA
State: relaxed

```
data_Rb3MnBr8
_cell_length_a 8.517
_cell_length_b 8.517
_cell_length_c 12.124
_cell_angle_alpha 90.00
_cell_angle_beta 90.00
_cell_angle_gamma 90.00
_space_group_name_H-M_alt 'I 4/m m m'
_space_group_IT_number 139
_space_group_name_Hall '-I 4 2'
loop_
_atom_site_label
_atom_site_fract_x
_atom_site_fract_y
_atom_site_fract_z
_atom_site_occupancy
Rb1 0.000 0.000 0.000 1
Rb2 0.000 0.500 0.250 1
Mn1 0.000 0.000 0.500 1
Br1 0.217 0.217 0.376 1
```

- Density of states at the Fermi level: 6.14 states/eV/cell
- Final energy: -3.01 eV per atom
- Uncorrected formation energy: -0.89 eV/atom

---

No. 12
Material: RbMnBr3
Method: DFT, PBE-GGA
State: relaxed

```
data_RbMnBr3
_cell_length_a 7.6299
_cell_length_b 7.6299
_cell_length_c 6.5532
_cell_angle_alpha 90.00
_cell_angle_beta 90.00
_cell_angle_gamma 120.00
_space_group_name_H-M_alt 'P 63/m m c'
_space_group_IT_number 194
_space_group_name_Hall '-P 6c 2c'
loop_
_atom_site_label
_atom_site_fract_x
_atom_site_fract_y
_atom_site_fract_z
_atom_site_occupancy
Rb1 0.3333 0.6667 0.2500 1
Mn1 0.0000 0.0000 0.0000 1
Br1 0.1620 0.3240 0.7500 1
```

- Final energy: -4.22 eV per atom
- Uncorrected formation energy: -1.19 eV/atom

---

No. 13
Material: RbMnBr4
Method: DFT, PBE-GGA
State: relaxed

```
data_RbMnBr4
_cell_length_a 16.299
_cell_length_b 7.363
_cell_length_c 7.125
_cell_angle_alpha 90.00
_cell_angle_beta 102.60
_cell_angle_gamma 90.00
_space_group_name_H-M_alt 'C 1 2/c 1'
_space_group_IT_number 15
loop_
_space_group_symop_operation_xyz
'x,y,z'
'-x,-y,-z'
'-x,y,-z+1/2'
'x,-y,z+1/2'
'x+1/2,y+1/2,z'
'-x+1/2,-y+1/2,-z'
'-x+1/2,y+1/2,-z+1/2'
'x+1/2,-y+1/2,z+1/2'
loop_
_atom_site_label
_atom_site_fract_x
_atom_site_fract_y
_atom_site_fract_z
_atom_site_occupancy
Rb1 0.000 0.240 0.250 1
Mn1 0.250 0.250 0.000 1
Br1 0.104 0.334 0.878 1
Br2 0.208 0.083 0.263 1
```

- Final energy: -3.81 eV per atom
- Uncorrected formation energy: -1.01 eV/atom
- Offset from the most stable computed form: 0.000 eV per formula unit

---

No. 14
Material: Rb2MnBr4
Method: DFT, PBE-GGA
State: relaxed

```
data_Rb2MnBr4
_cell_length_a 7.720
_cell_length_b 7.728
_cell_length_c 9.742
_cell_angle_alpha 90.00
_cell_angle_beta 108.65
_cell_angle_gamma 90.00
_space_group_name_H-M_alt 'P 1 21/m 1'
_space_group_IT_number 11
loop_
_space_group_symop_operation_xyz
'x,y,z'
'-x,-y,-z'
'-x,y+1/2,-z'
'x,-y+1/2,z'
loop_
_atom_site_label
_atom_site_fract_x
_atom_site_fract_y
_atom_site_fract_z
_atom_site_occupancy
Rb1 0.212 0.250 0.048 1
Rb2 0.281 0.250 0.573 1
Mn1 0.220 0.750 0.795 1
Br1 0.004 0.000 0.735 1
Br2 0.391 0.750 0.060 1
Br3 0.420 0.750 0.637 1
```

- Density of states at the Fermi level: 0.00 states/eV/cell
- Final energy: -3.92 eV per atom
- Uncorrected formation energy: -1.37 eV/atom
- Offset from the most stable computed form: 0.000 eV per formula unit

---

No. 15
Material: Rb2Mn2Br7
Method: DFT, PBE-GGA
State: relaxed

```
data_Rb2Mn2Br7
_cell_length_a 10.905
_cell_length_b 14.342
_cell_length_c 6.187
_cell_angle_alpha 90.00
_cell_angle_beta 98.34
_cell_angle_gamma 90.00
_space_group_name_H-M_alt 'C 1 2/m 1'
_space_group_IT_number 12
loop_
_space_group_symop_operation_xyz
'x,y,z'
'-x,-y,-z'
'-x,y,-z'
'x,-y,z'
'x+1/2,y+1/2,z'
'-x+1/2,-y+1/2,-z'
'-x+1/2,y+1/2,-z'
'x+1/2,-y+1/2,z'
loop_
_atom_site_label
_atom_site_fract_x
_atom_site_fract_y
_atom_site_fract_z
_atom_site_occupancy
Rb1 0.000 0.203 0.000 1
Mn1 0.221 0.500 0.423 1
Br1 0.000 0.500 0.500 1
Br2 0.116 0.000 0.269 1
Br3 0.234 0.349 0.256 1
```

- Density of states at the Fermi level: 6.71 states/eV/cell
- Final energy: -3.97 eV per atom
- Uncorrected formation energy: -1.06 eV/atom
- Offset from the most stable computed form: 0.054 eV per formula unit

---

No. 16
Material: Rb3MnBr7
Method: DFT, PBE-GGA
State: relaxed

```
data_Rb3MnBr7
_cell_length_a 10.411
_cell_length_b 10.411
_cell_length_c 7.328
_cell_angle_alpha 90.00
_cell_angle_beta 90.00
_cell_angle_gamma 90.00
_space_group_name_H-M_alt 'P 4/m b m'
_space_group_IT_number 127
_space_group_name_Hall '-P 4 2ab'
loop_
_atom_site_label
_atom_site_fract_x
_atom_site_fract_y
_atom_site_fract_z
_atom_site_occupancy
Rb1 0.000 0.000 0.000 1
Rb2 0.174 0.326 0.500 1
Mn1 0.000 0.500 0.000 1
Br1 0.000 0.000 0.500 1
Br2 0.117 0.617 0.239 1
Br3 0.168 0.332 0.000 1
```

- Final energy: -3.37 eV per atom
- Uncorrected formation energy: -1.21 eV/atom

---

No. 17
Material: RbMn3Br9
Method: DFT, PBE-GGA
State: relaxed

```
data_RbMn3Br9
_cell_length_a 21.084
_cell_length_b 9.187
_cell_length_c 15.253
_cell_angle_alpha 90.00
_cell_angle_beta 131.99
_cell_angle_gamma 90.00
_space_group_name_H-M_alt 'C 1 c 1'
_space_group_IT_number 9
loop_
_space_group_symop_operation_xyz
'x,y,z'
'x,-y,z+1/2'
'x+1/2,y+1/2,z'
'x+1/2,-y+1/2,z+1/2'
loop_
_atom_site_label
_atom_site_fract_x
_atom_site_fract_y
_atom_site_fract_z
_atom_site_occupancy
Rb1 0.000 0.214 0.000 1
Mn1 0.152 0.076 0.842 1
Mn2 0.240 0.383 0.705 1
Mn3 0.357 0.070 0.674 1
Br1 0.024 0.127 0.801 1
Br2 0.134 0.491 0.027 1
Br3 0.136 0.266 0.707 1
Br4 0.175 0.154 0.296 1
Br5 0.268 0.142 0.057 1
Br6 0.327 0.332 0.650 1
Br7 0.348 0.441 0.907 1
Br8 0.363 0.026 0.831 1
Br9 0.450 0.071 0.641 1
```

- Density of states at the Fermi level: 7.66 states/eV/cell
- Final energy: -4.14 eV per atom
- Uncorrected formation energy: -0.79 eV/atom

---

No. 18
Material: Rb2MnBr
Method: DFT, PBE-GGA
State: relaxed

```
data_Rb2MnBr
_cell_length_a 8.847
_cell_length_b 8.847
_cell_length_c 8.847
_cell_angle_alpha 90.00
_cell_angle_beta 90.00
_cell_angle_gamma 90.00
_space_group_name_H-M_alt 'F m -3 m'
_space_group_IT_number 225
_space_group_name_Hall '-F 4 2 3'
loop_
_atom_site_label
_atom_site_fract_x
_atom_site_fract_y
_atom_site_fract_z
_atom_site_occupancy
Rb1 0.250 0.250 0.250 1
Mn1 0.000 0.000 0.000 1
Br1 0.000 0.000 0.500 1
```

- Density of states at the Fermi level: 54.61 states/eV/cell
- Final energy: -3.20 eV per atom
- Uncorrected formation energy: 0.00 eV/atom
- Offset from the most stable computed form: 0.140 eV per formula unit

---

No. 19
Material: Rb2MnBr7
Method: DFT, PBE-GGA
State: relaxed

```
data_Rb2MnBr7
_cell_length_a 8.286
_cell_length_b 8.286
_cell_length_c 10.897
_cell_angle_alpha 90.00
_cell_angle_beta 90.00
_cell_angle_gamma 90.00
_space_group_name_H-M_alt 'I 4/m m m'
_space_group_IT_number 139
_space_group_name_Hall '-I 4 2'
loop_
_atom_site_label
_atom_site_fract_x
_atom_site_fract_y
_atom_site_fract_z
_atom_site_occupancy
Rb1 0.000 0.500 0.250 1
Mn1 0.000 0.000 0.000 1
Br1 0.000 0.000 0.264 1
Br2 0.000 0.000 0.500 1
Br3 0.208 0.208 0.000 1
```

- Final energy: -3.23 eV per atom
- Uncorrected formation energy: -0.95 eV/atom

---

No. 20
Material: RbMn3Br8
Method: DFT, PBE-GGA
State: relaxed

```
data_RbMn3Br8
_cell_length_a 13.894
_cell_length_b 8.352
_cell_length_c 8.537
_cell_angle_alpha 90.00
_cell_angle_beta 125.44
_cell_angle_gamma 90.00
_space_group_name_H-M_alt 'C 1 2/m 1'
_space_group_IT_number 12
loop_
_space_group_symop_operation_xyz
'x,y,z'
'-x,-y,-z'
'-x,y,-z'
'x,-y,z'
'x+1/2,y+1/2,z'
'-x+1/2,-y+1/2,-z'
'-x+1/2,y+1/2,-z'
'x+1/2,-y+1/2,z'
loop_
_atom_site_label
_atom_site_fract_x
_atom_site_fract_y
_atom_site_fract_z
_atom_site_occupancy
Rb1 0.000 0.000 0.000 1
Mn1 0.000 0.500 0.000 1
Mn2 0.250 0.250 0.500 1
Br1 0.025 0.282 0.268 1
Br2 0.230 0.500 0.666 1
Br3 0.241 0.500 0.246 1
```

- Density of states at the Fermi level: 14.11 states/eV/cell
- Final energy: -4.29 eV per atom
- Uncorrected formation energy: -0.80 eV/atom